Here is a relaxed structure of GdYSnPd2 from the Open Quantum Materials Database. Energies are from GGA-PBE.

The value obtained for the uncorrected energy is -6.00 eV/atom.

It has space group Amm2 (No. 38), with a = 3.6194 Å, b = 4.2603 Å, c = 14.6460 Å, α = 90.00°, β = 90.00° and γ = 90.00°. The distinct sites, in fractional coordinates, are Gd at (0.0000, 0.0000, 0.0000), Y at (0.0000, 0.0000, 0.2614), Sn at (0.5000, 0.0000, 0.6319), Pd at (0.5000, 0.0000, 0.4413) and Pd at (0.5000, 0.0000, 0.8217).